--- i ---
First-principles (GGA-PBE) data for a relaxed TaGaCoNi crystal, as listed in OQMD via LeMat-Bulk.

a b c (Å): 4.2350 4.2350 4.2350
angles (deg): 60.00 60.00 60.00
With the nearest neighbours (Å) after each atom.
Fractional positions:
1 Co 0.5000 0.5000 0.5000  4 Ta 2.59, 4 Ni 2.59
2 Ta 0.2500 0.2500 0.2500  4 Co 2.59, 4 Ga 2.59
3 Ni 0.7500 0.7500 0.7500  4 Ga 2.59, 4 Co 2.59
4 Ga 0.0000 0.0000 0.0000  4 Ni 2.59, 4 Ta 2.59

Summary:
**Symmetry**: No. 216



--- ii ---
First-principles (GGA-PBE) data for a relaxed TaGaCoNi crystal, as listed in OQMD via LeMat-Bulk.

a b c (Å): 4.2128 4.2128 4.2128
angles (deg): 60.00 60.00 60.00
With the nearest neighbours (Å) after each atom.
Fractional positions:
1 Ni 0.2500 0.2500 0.2500  4 Ga 2.58, 4 Ta 2.58
2 Ta 0.5000 0.5000 0.5000  4 Co 2.58, 4 Ni 2.58
3 Co 0.7500 0.7500 0.7500  4 Ta 2.58, 4 Ga 2.58
4 Ga 0.0000 0.0000 0.0000  4 Ni 2.58, 4 Co 2.58

Summary:
**Symmetry**: No. 216



What should be chosen as the least stable of them? Choose i.